Record 1
Ac4IrPb2 | GGA-PBE | relaxed

Cell: 6.8543 6.8543 9.5252 Å, 119.18 119.18 41.56°
With the nearest neighbours (Å) after each atom.
Atoms (fractional coordinates):
Ac  0.0742  0.0742  0.3478  1 Ir 2.93
Ac  0.3338  0.3338  0.9386  2 Ir 3.08
Ac  0.6662  0.6662  0.0614  2 Ir 3.08
Ac  0.9258  0.9258  0.6522  1 Ir 2.93
Ir  0.0000  0.0000  0.0000  6 Ac 2.93-3.08
Pb  0.3610  0.3610  0.3451  1 Pb 3.23, 4 Ac 3.52-3.55
Pb  0.6390  0.6390  0.6549  1 Pb 3.23, 4 Ac 3.52-3.55

Computed properties:
The uncorrected energy comes out at -5.230 eV/atom.

Record 2
Ac3PmIr2 | GGA-PBE | relaxed

Cell: 9.0493 9.0493 11.9812 Å, 117.37 117.37 28.69°
With the nearest neighbours (Å) after each atom.
Atoms (fractional coordinates):
Ac  0.0516  0.0516  0.2361  3 Ir 3.02-3.05
Ac  0.2173  0.2173  0.6036  3 Ir 2.99-3.15
Ac  0.3354  0.3354  0.9842  3 Ir 3.02-3.06
Ac  0.6646  0.6646  0.0158  3 Ir 3.02-3.06
Ac  0.7827  0.7827  0.3964  3 Ir 2.99-3.15
Ac  0.9484  0.9484  0.7639  3 Ir 3.02-3.05
Pm  0.4261  0.4261  0.3398  4 Ir 2.88-3.15
Pm  0.5739  0.5739  0.6602  4 Ir 2.88-3.15
Ir  0.1377  0.1377  0.8313  2 Pm 2.88, 4 Ac 3.02-3.06
Ir  0.3838  0.3838  0.5675  2 Pm 2.97-3.15, 5 Ac 2.99-3.15
Ir  0.6162  0.6162  0.4325  2 Pm 2.97-3.15, 5 Ac 2.99-3.15
Ir  0.8623  0.8623  0.1687  2 Pm 2.88, 4 Ac 3.02-3.06

Computed properties:
As for the formation energy: -0.5737 eV per atom.

Record 3
AcPrIr | GGA-PBE | relaxed

Cell: 4.9821 4.9821 4.9821 Å, 60.00 60.00 60.00°
With the nearest neighbours (Å) after each atom.
Atoms (fractional coordinates):
Ac  0.0000  0.0000  0.0000  4 Pr 3.05
Pr  0.2500  0.2500  0.2500  4 Ac 3.05, 4 Ir 3.05
Ir  0.5000  0.5000  0.5000  4 Pr 3.05

Computed properties:
The energy above the most stable polymorph in this dataset is 0 meV/atom. As for the formation energy: 0.2534 eV per atom.

Record 4
Ac4Ir2Pt | GGA-PBE | relaxed

Cell: 7.4356 7.4356 14.5031 Å, 90.00 90.00 146.55°
With the nearest neighbours (Å) after each atom.
Atoms (fractional coordinates):
Ac  0.0000  0.0000  0.0000  4 Ir 3.01
Ac  0.0000  0.0000  0.5000  4 Ir 3.01
Ac  0.2721  0.7279  0.6168  3 Ir 2.99-3.01, 2 Pt 3.30
Ac  0.2721  0.7279  0.8832  3 Ir 2.99-3.01, 2 Pt 3.30
Ac  0.4611  0.5389  0.2500  2 Ir 2.97, 2 Pt 3.06
Ac  0.5389  0.4611  0.7500  2 Ir 2.97, 2 Pt 3.06
Ac  0.7279  0.2721  0.1168  3 Ir 2.99-3.01, 2 Pt 3.30
Ac  0.7279  0.2721  0.3832  3 Ir 2.99-3.01, 2 Pt 3.30
Ir  0.3678  0.6322  0.0670  6 Ac 2.97-3.01
Ir  0.3678  0.6322  0.4330  6 Ac 2.97-3.01
Ir  0.6322  0.3678  0.5670  6 Ac 2.97-3.01
Ir  0.6322  0.3678  0.9330  6 Ac 2.97-3.01
Pt  0.1151  0.8849  0.2500  6 Ac 3.06-3.30
Pt  0.8849  0.1151  0.7500  6 Ac 3.06-3.30

Computed properties:
As for the formation energy: -0.7727 eV per atom.

Record 5
Ac4IrPt | GGA-PBE | relaxed

Cell: 9.5957 9.5957 7.4945 Å, 105.79 105.79 125.03°
With the nearest neighbours (Å) after each atom.
Atoms (fractional coordinates):
Ac  0.0513  0.4288  0.2452  1 Ir 2.90, 1 Pt 2.99
Ac  0.1930  0.2966  0.7444  2 Ir 3.02-3.07, 2 Pt 3.09-3.11
Ac  0.2966  0.1930  0.2444  2 Ir 3.02-3.07, 2 Pt 3.09-3.11
Ac  0.4288  0.0513  0.7452  1 Ir 2.90, 1 Pt 2.99
Ac  0.5712  0.9487  0.2548  1 Ir 2.90, 1 Pt 2.99
Ac  0.7034  0.8070  0.7556  2 Ir 3.02-3.07, 2 Pt 3.09-3.11
Ac  0.8070  0.7034  0.2556  2 Ir 3.02-3.07, 2 Pt 3.09-3.11
Ac  0.9487  0.5712  0.7548  1 Ir 2.90, 1 Pt 2.99
Ir  0.0741  0.9259  0.7500  6 Ac 2.90-3.07
Ir  0.9259  0.0741  0.2500  6 Ac 2.90-3.07
Pt  0.4249  0.5751  0.2500  6 Ac 2.99-3.11
Pt  0.5751  0.4249  0.7500  6 Ac 2.99-3.11

Computed properties:
As for the formation energy: -0.6879 eV per atom.

Record 6
AcSbIr | GGA-PBE | relaxed

Cell: 4.9256 4.9256 4.9256 Å, 60.00 60.00 60.00°
With the nearest neighbours (Å) after each atom.
Atoms (fractional coordinates):
Ac  0.0000  0.0000  0.0000  4 Ir 3.02
Sb  0.5000  0.5000  0.5000  4 Ir 3.02
Ir  0.7500  0.7500  0.7500  4 Sb 3.02, 4 Ac 3.02

Computed properties:
The energy above the most stable polymorph in this dataset is 0 meV/atom.